A relaxed structure of Pu2BePt2, computed with PBE-GGA.

```
data_Pu2BePt2
_symmetry_space_group_name_H-M 'P 1'
_symmetry_Int_Tables_number 1
_symmetry_space_group_name_Hall 'P 1'
_cell_length_a 5.6463
_cell_length_b 5.6464
_cell_length_c 6.2251
_cell_angle_alpha 81.63
_cell_angle_beta 81.63
_cell_angle_gamma 59.68
loop_
_atom_site_label
_atom_site_type_symbol
_atom_site_fract_x
_atom_site_fract_y
_atom_site_fract_z
Pt1 Pt 0.7823 0.8981 0.5166
Be1 Be 0.1149 0.8851 0.2500
Pu1 Pu 0.4997 0.6679 0.8621
Pu2 Pu 0.3321 0.5002 0.6379
Pt2 Pt 0.1019 0.2177 0.9834
Pu3 Pu 0.5003 0.3321 0.1379
Pt3 Pt 0.8981 0.7823 0.0166
Pu4 Pu 0.6679 0.4998 0.3621
Be2 Be 0.8851 0.1149 0.7500
Pt4 Pt 0.2177 0.1019 0.4834
```

For the volume, the calculation gives 16.89 Å³/atom. As for the size of the total moment: 0.00 μB/cell. The uncorrected energy comes out at -92.3 eV/cell. As for the formation energy: -32 kJ per mole of atoms.